Ce2NdHg4Pb | PBE-GGA | relaxed

a = 5.335 Å, b = 5.335 Å, c = 9.575 Å
α = 73.83°, β = 73.83°, γ = 60.00°
Site moments in Bohr magnetons follow the coordinates.
Fractional positions:
1 Ce 0.740 0.740 0.780  0.93
2 Ce 0.260 0.260 0.220  0.93
3 Nd 0.500 0.500 0.500  0.11
4 Hg 0.381 0.381 0.857  0.02
5 Hg 0.869 0.869 0.394  0.01
6 Hg 0.131 0.131 0.606  0.01
7 Hg 0.619 0.619 0.143  0.02
8 Pb 0.000 0.000 0.000  0.00

Output
formation energy from the elements = -0.344 eV/atom